1.
Entry from Alexandria: an optimized crystal structure of AcPdAu2O8 (GGA-PBE).

Calculated values
* DOS(E_F): 9.63 states/eV per cell
* total magnetization: 0.6 μB/f.u.
* uncorrected formation energy: -0.25 eV per atom

Cell: 6.2113 6.2113 6.2113 Å, 109.06 109.06 110.29°
With the nearest neighbours (Å) after each atom.
Element x y z (fractional)
O 0.3440 0.0416 0.3024  1 Au 2.05, 1 Pd 2.20
O 0.5655 0.7237 0.8418  1 Au 1.96
O 0.2763 0.4345 0.1582  1 Au 1.96
O 0.9584 0.2609 0.3024  1 Au 2.05, 1 Pd 2.20
O 0.9584 0.6560 0.6976  1 Au 2.05, 1 Pd 2.20
O 0.8819 0.7237 0.1582  1 Au 1.96
O 0.2763 0.1181 0.8418  1 Au 1.96
O 0.7392 0.0416 0.6976  1 Au 2.05, 1 Pd 2.20
Au 0.7500 0.2500 0.5000  4 O 2.05
Au 0.5000 0.5000 0.0000  4 O 1.96
Ac 0.2500 0.7500 0.5000  8 O 2.47-2.51
Pd 0.0000 0.0000 0.0000  8 O 2.20-2.27

2.
Entry from Alexandria: an optimized crystal structure of Ac2PdAu2O6 (GGA-PBE).

Calculated values
* DOS(E_F): 1.50 states/eV per cell
* total magnetization: 0.0 μB/f.u.
* uncorrected formation energy: -1.29 eV per atom

Cell: 6.3225 6.3225 6.3771 Å, 60.28 60.28 60.00°
With the nearest neighbours (Å) after each atom.
Element x y z (fractional)
Pd 0.0000 0.0000 0.0000  6 O 2.06
Au 0.4071 0.4071 0.7787  3 O 2.16
Au 0.5929 0.5929 0.2213  3 O 2.16
O 0.8157 0.2273 0.7296  1 Pd 2.06, 1 Au 2.16
O 0.2273 0.2273 0.7296  1 Pd 2.06, 1 Au 2.16
O 0.1843 0.7727 0.2704  1 Pd 2.06, 1 Au 2.16
O 0.2273 0.8157 0.7296  1 Pd 2.06, 1 Au 2.16
O 0.7727 0.1843 0.2704  1 Pd 2.06, 1 Au 2.16
O 0.7727 0.7727 0.2704  1 Pd 2.06, 1 Au 2.16
Ac 0.7879 0.7879 0.6364  3 O 2.43
Ac 0.2121 0.2121 0.3636  3 O 2.43

Q: Which value of DOS(E_F) does entry 2 give?
A: 1.50 states/eV per cell